# 1
# LiSi2Rh (PBE, relaxed)
data_LiSi2Rh
_cell_length_a 3.642
_cell_length_b 3.642
_cell_length_c 16.933
_cell_angle_alpha 90.00
_cell_angle_beta 90.00
_cell_angle_gamma 90.00
_space_group_name_H-M_alt 'I -4 2 d'
_space_group_IT_number 122
_space_group_name_Hall 'I -4 2bw'
loop_
_atom_site_label
_atom_site_type_symbol
_atom_site_fract_x
_atom_site_fract_y
_atom_site_fract_z
_atom_site_occupancy
Li1 Li 0.000 0.000 0.000 1
Si1 Si 0.237 0.250 0.125 1
Rh1 Rh 0.000 0.000 0.500 1
# Uncorrected formation energy, eV/atom: -0.130
# Calculated volume, Å³/cell: 225
# Raw total energy, eV per atom: -5.158

# 2
# Mn2BeTc (PBE, relaxed)
data_Mn2BeTc
_cell_length_a 3.660
_cell_length_b 3.660
_cell_length_c 3.437
_cell_angle_alpha 90.00
_cell_angle_beta 90.00
_cell_angle_gamma 90.00
_space_group_name_H-M_alt 'P 4/m m m'
_space_group_IT_number 123
_space_group_name_Hall '-P 4 2'
loop_
_atom_site_label
_atom_site_type_symbol
_atom_site_fract_x
_atom_site_fract_y
_atom_site_fract_z
_atom_site_occupancy
Mn1 Mn 0.000 0.500 0.000 1
Be1 Be 0.000 0.000 0.500 1
Tc1 Tc 0.500 0.500 0.500 1
# Formation energy, eV/atom: 0.07
# Calculated volume, Å³/cell: 46
# Raw total energy, eV per atom: -8.040

# 3
# DyGa3CuRh (PBE, relaxed)
data_DyGa3CuRh
_cell_length_a 6.071
_cell_length_b 12.209
_cell_length_c 5.809
_cell_angle_alpha 90.00
_cell_angle_beta 90.00
_cell_angle_gamma 90.00
_space_group_name_H-M_alt 'C m c m'
_space_group_IT_number 63
_space_group_name_Hall '-C 2c 2'
loop_
_atom_site_label
_atom_site_type_symbol
_atom_site_fract_x
_atom_site_fract_y
_atom_site_fract_z
_atom_site_occupancy
Dy1 Dy 0.000 0.215 0.250 1
Ga1 Ga 0.000 0.348 0.750 1
Ga2 Ga 0.209 0.000 0.000 1
Cu1 Cu 0.000 0.437 0.250 1
Rh1 Rh 0.000 0.144 0.750 1
# Formation energy, eV/atom: -0.36
# Calculated volume, Å³/cell: 431
# Raw total energy, eV per atom: -4.547